No. 1
Below is a geometry-optimized Ac3Be2Pd9Au structure, with properties calculated at the PBE-GGA level.

CIF file:
```
data_Ac3Be2Pd9Au
_chemical_formula_sum 'Ac3 Be2 Pd9 Au1'
_cell_length_a 6.9258
_cell_length_b 6.9258
_cell_length_c 7.3152
_cell_angle_alpha 90.00
_cell_angle_beta 90.00
_cell_angle_gamma 120.00
_symmetry_space_group_name_H-M 'P -3 m 1'
_symmetry_Int_Tables_number 164
_symmetry_space_group_name_Hall '-P 3 2"'
loop_
_atom_site_label
_atom_site_type_symbol
_atom_site_fract_x
_atom_site_fract_y
_atom_site_fract_z
Ac1 Ac 0.0000 0.0000 0.0000
Ac2 Ac 0.3333 0.6667 0.6622
Be1 Be 0.3333 0.6667 0.1246
Pd1 Pd 0.0000 0.5000 0.0000
Pd2 Pd 0.1905 0.3809 0.3128
Au1 Au 0.0000 0.0000 0.5000
```

Computed properties:
Total DFT energy (no corrections), eV/atom: -5.254
Formation energy, kJ/mol of formula units: -870
Size of the total moment, μB/atom: 0.00

---

No. 2
Below is a geometry-optimized CoSe2BrN structure, with properties calculated at the PBE-GGA level.

CIF file:
```
data_CoSe2BrN
_chemical_formula_sum 'Co1 Se2 Br1 N1'
_cell_length_a 4.294
_cell_length_b 4.294
_cell_length_c 4.817
_cell_angle_alpha 90.00
_cell_angle_beta 90.00
_cell_angle_gamma 90.00
_symmetry_space_group_name_H-M 'P 4/m m m'
_symmetry_Int_Tables_number 123
_symmetry_space_group_name_Hall '-P 4 2'
loop_
_atom_site_label
_atom_site_type_symbol
_atom_site_fract_x
_atom_site_fract_y
_atom_site_fract_z
Co1 Co 0.000 0.000 0.000
Se1 Se 0.000 0.500 0.500
Br1 Br 0.500 0.500 0.000
N1 N 0.500 0.500 0.500
```

Computed properties:
Energy above the lowest structure with this stoichiometry, kJ/mol of atoms: 65.5
Total DFT energy (no corrections), eV/atom: -3.560
Size of the total moment, μB/atom: 0.62
E_form (uncorrected), eV/atom: 1.25

---

No. 3
Below is a geometry-optimized CaTa2Ni structure, with properties calculated at the PBE-GGA level.

CIF file:
```
data_CaTa2Ni
_chemical_formula_sum 'Ca2 Ta4 Ni2'
_cell_length_a 5.357
_cell_length_b 10.517
_cell_length_c 2.872
_cell_angle_alpha 90.00
_cell_angle_beta 112.07
_cell_angle_gamma 90.00
_symmetry_space_group_name_H-M 'C 1 2/m 1'
_symmetry_Int_Tables_number 12
loop_
_symmetry_equiv_pos_as_xyz
'x,y,z'
'-x,-y,-z'
'-x,y,-z'
'x,-y,z'
'x+1/2,y+1/2,z'
'-x+1/2,-y+1/2,-z'
'-x+1/2,y+1/2,-z'
'x+1/2,-y+1/2,z'
loop_
_atom_site_label
_atom_site_type_symbol
_atom_site_fract_x
_atom_site_fract_y
_atom_site_fract_z
Ca1 Ca 0.000 0.000 0.000
Ta1 Ta 0.250 0.250 0.500
Ni1 Ni 0.000 0.500 0.000
```

Computed properties:
Energy above the lowest structure with this stoichiometry, kJ/mol of atoms: 32.2
Total DFT energy (no corrections), eV/atom: -7.333
Formation energy, kJ/mol of formula units: 208
Size of the total moment, μB/atom: 0.00

---

No. 4
Below is a geometry-optimized NbCr2Ni2 structure, with properties calculated at the PBE-GGA level.

CIF file:
```
data_NbCr2Ni2
_chemical_formula_sum 'Nb2 Cr4 Ni4'
_cell_length_a 7.063
_cell_length_b 7.063
_cell_length_c 2.552
_cell_angle_alpha 90.00
_cell_angle_beta 90.00
_cell_angle_gamma 90.00
_symmetry_space_group_name_H-M 'P 4/m b m'
_symmetry_Int_Tables_number 127
_symmetry_space_group_name_Hall '-P 4 2ab'
loop_
_atom_site_label
_atom_site_type_symbol
_atom_site_fract_x
_atom_site_fract_y
_atom_site_fract_z
Nb1 Nb 0.000 0.000 0.000
Cr1 Cr 0.115 0.385 0.000
Ni1 Ni 0.178 0.678 0.500
```

Computed properties:
Total DFT energy (no corrections), eV/atom: -8.051
Formation energy, kJ/mol of formula units: 60
Size of the total moment, μB/atom: 0.00

---

No. 5
Below is a geometry-optimized Y2Zn2Ni structure, with properties calculated at the PBE-GGA level.

CIF file:
```
data_Y2Zn2Ni
_chemical_formula_sum 'Y4 Zn4 Ni2'
_cell_length_a 3.506
_cell_length_b 3.506
_cell_length_c 17.487
_cell_angle_alpha 90.00
_cell_angle_beta 90.00
_cell_angle_gamma 90.00
_symmetry_space_group_name_H-M 'I 4/m m m'
_symmetry_Int_Tables_number 139
_symmetry_space_group_name_Hall '-I 4 2'
loop_
_atom_site_label
_atom_site_type_symbol
_atom_site_fract_x
_atom_site_fract_y
_atom_site_fract_z
Y1 Y 0.000 0.000 0.093
Zn1 Zn 0.000 0.500 0.250
Ni1 Ni 0.000 0.000 0.500
```

Computed properties:
Energy above the lowest structure with this stoichiometry, kJ/mol of atoms: 26.4
Total DFT energy (no corrections), eV/atom: -4.366
Formation energy, kJ/mol of formula units: -55
Size of the total moment, μB/atom: 0.00

---

No. 6
Below is a geometry-optimized CdSn3Pd7 structure, with properties calculated at the PBE-GGA level.

CIF file:
```
data_CdSn3Pd7
_chemical_formula_sum 'Cd2 Sn6 Pd14'
_cell_length_a 8.570
_cell_length_b 9.689
_cell_length_c 5.473
_cell_angle_alpha 90.00
_cell_angle_beta 113.68
_cell_angle_gamma 90.00
_symmetry_space_group_name_H-M 'C 1 2/m 1'
_symmetry_Int_Tables_number 12
loop_
_symmetry_equiv_pos_as_xyz
'x,y,z'
'-x,-y,-z'
'-x,y,-z'
'x,-y,z'
'x+1/2,y+1/2,z'
'-x+1/2,-y+1/2,-z'
'-x+1/2,y+1/2,-z'
'x+1/2,-y+1/2,z'
loop_
_atom_site_label
_atom_site_type_symbol
_atom_site_fract_x
_atom_site_fract_y
_atom_site_fract_z
Cd1 Cd 0.000 0.000 0.000
Sn1 Sn 0.000 0.270 0.500
Sn2 Sn 0.000 0.500 0.000
Pd1 Pd 0.000 0.000 0.500
Pd2 Pd 0.173 0.261 0.182
Pd3 Pd 0.186 0.500 0.542
```

Computed properties:
Total DFT energy (no corrections), eV/atom: -4.811
Formation energy, kJ/mol of formula units: -352
Size of the total moment, μB/atom: 0.00

---

No. 7
Below is a geometry-optimized Mg2ScTl structure, with properties calculated at the PBE-GGA level.

CIF file:
```
data_Mg2ScTl
_chemical_formula_sum 'Mg4 Sc2 Tl2'
_cell_length_a 6.176
_cell_length_b 9.401
_cell_length_c 3.315
_cell_angle_alpha 90.00
_cell_angle_beta 90.00
_cell_angle_gamma 90.00
_symmetry_space_group_name_H-M 'C m m m'
_symmetry_Int_Tables_number 65
_symmetry_space_group_name_Hall '-C 2 2'
loop_
_atom_site_label
_atom_site_type_symbol
_atom_site_fract_x
_atom_site_fract_y
_atom_site_fract_z
Mg1 Mg 0.250 0.250 0.000
Sc1 Sc 0.000 0.000 0.500
Tl1 Tl 0.000 0.500 0.500
```

Computed properties:
Energy above the lowest structure with this stoichiometry, kJ/mol of atoms: 12.4
Total DFT energy (no corrections), eV/atom: -3.027
Formation energy, kJ/mol of formula units: -21
Size of the total moment, μB/atom: 0.00

---

No. 8
Below is a geometry-optimized ZnTc2I structure, with properties calculated at the PBE-GGA level.

CIF file:
```
data_ZnTc2I
_chemical_formula_sum 'Zn4 Tc8 I4'
_cell_length_a 4.072
_cell_length_b 4.072
_cell_length_c 18.899
_cell_angle_alpha 90.00
_cell_angle_beta 90.00
_cell_angle_gamma 90.00
_symmetry_space_group_name_H-M 'I -4 2 d'
_symmetry_Int_Tables_number 122
_symmetry_space_group_name_Hall 'I -4 2bw'
loop_
_atom_site_label
_atom_site_type_symbol
_atom_site_fract_x
_atom_site_fract_y
_atom_site_fract_z
Zn1 Zn 0.000 0.000 0.000
Tc1 Tc 0.164 0.250 0.125
I1 I 0.000 0.000 0.500
```

Computed properties:
Energy above the lowest structure with this stoichiometry, kJ/mol of atoms: 18.3
Total DFT energy (no corrections), eV/atom: -4.977
Size of the total moment, μB/atom: 0.00
E_form (uncorrected), eV/atom: 0.91

---

No. 9
Below is a geometry-optimized La3Pr4Sc2 structure, with properties calculated at the PBE-GGA level.

CIF file:
```
data_La3Pr4Sc2
_chemical_formula_sum 'La6 Pr8 Sc4'
_cell_length_a 11.492
_cell_length_b 5.101
_cell_length_c 10.865
_cell_angle_alpha 90.00
_cell_angle_beta 108.84
_cell_angle_gamma 90.00
_symmetry_space_group_name_H-M 'C 1 2/m 1'
_symmetry_Int_Tables_number 12
loop_
_symmetry_equiv_pos_as_xyz
'x,y,z'
'-x,-y,-z'
'-x,y,-z'
'x,-y,z'
'x+1/2,y+1/2,z'
'-x+1/2,-y+1/2,-z'
'-x+1/2,y+1/2,-z'
'x+1/2,-y+1/2,z'
loop_
_atom_site_label
_atom_site_type_symbol
_atom_site_fract_x
_atom_site_fract_y
_atom_site_fract_z
La1 La 0.000 0.000 0.000
La2 La 0.172 0.500 0.556
Pr1 Pr 0.002 0.000 0.671
Pr2 Pr 0.169 0.500 0.890
Sc1 Sc 0.166 0.500 0.221
```

Computed properties:
Total DFT energy (no corrections), eV/atom: -5.125
Formation energy, kJ/mol of formula units: 42
Size of the total moment, μB/atom: 0.00

---

No. 10
Below is a geometry-optimized TcOs2Pt structure, with properties calculated at the PBE-GGA level.

CIF file:
```
data_TcOs2Pt
_chemical_formula_sum 'Tc1 Os2 Pt1'
_cell_length_a 2.732
_cell_length_b 3.910
_cell_length_c 5.486
_cell_angle_alpha 90.00
_cell_angle_beta 90.00
_cell_angle_gamma 90.00
_symmetry_space_group_name_H-M 'P m m m'
_symmetry_Int_Tables_number 47
loop_
_symmetry_equiv_pos_as_xyz
'x,y,z'
'-x,-y,-z'
'-x,-y,z'
'x,y,-z'
'x,-y,-z'
'-x,y,z'
'-x,y,-z'
'x,-y,z'
loop_
_atom_site_label
_atom_site_type_symbol
_atom_site_fract_x
_atom_site_fract_y
_atom_site_fract_z
Tc1 Tc 0.000 0.000 0.000
Os1 Os 0.500 0.500 0.240
Pt1 Pt 0.000 0.000 0.500
```

Computed properties:
Energy above the lowest structure with this stoichiometry, kJ/mol of atoms: 3.3
Total DFT energy (no corrections), eV/atom: -9.653
Formation energy, kJ/mol of formula units: 24
Size of the total moment, μB/atom: 0.00

---

No. 11
Below is a geometry-optimized InCu2W structure, with properties calculated at the PBE-GGA level.

CIF file:
```
data_InCu2W
_chemical_formula_sum 'In1 Cu2 W1'
_cell_length_a 2.859
_cell_length_b 2.859
_cell_length_c 7.501
_cell_angle_alpha 90.00
_cell_angle_beta 90.00
_cell_angle_gamma 90.00
_symmetry_space_group_name_H-M 'P 4/m m m'
_symmetry_Int_Tables_number 123
_symmetry_space_group_name_Hall '-P 4 2'
loop_
_atom_site_label
_atom_site_type_symbol
_atom_site_fract_x
_atom_site_fract_y
_atom_site_fract_z
In1 In 0.000 0.000 0.000
Cu1 Cu 0.500 0.500 0.260
W1 W 0.000 0.000 0.500
```

Computed properties:
Total DFT energy (no corrections), eV/atom: -5.660
Formation energy, kJ/mol of formula units: 120
Size of the total moment, μB/atom: 0.00

---

No. 12
Below is a geometry-optimized BaCr2Mo structure, with properties calculated at the PBE-GGA level.

CIF file:
```
data_BaCr2Mo
_chemical_formula_sum 'Ba2 Cr4 Mo2'
_cell_length_a 3.423
_cell_length_b 5.850
_cell_length_c 9.623
_cell_angle_alpha 90.00
_cell_angle_beta 90.00
_cell_angle_gamma 90.00
_symmetry_space_group_name_H-M 'I m m m'
_symmetry_Int_Tables_number 71
_symmetry_space_group_name_Hall '-I 2 2'
loop_
_atom_site_label
_atom_site_type_symbol
_atom_site_fract_x
_atom_site_fract_y
_atom_site_fract_z
Ba1 Ba 0.000 0.000 0.000
Cr1 Cr 0.000 0.500 0.191
Mo1 Mo 0.000 0.000 0.500
```

Computed properties:
Energy above the lowest structure with this stoichiometry, kJ/mol of atoms: 40.6
Total DFT energy (no corrections), eV/atom: -6.809
Formation energy, kJ/mol of formula units: 460
Size of the total moment, μB/atom: 1.34

---

Please write out number 11 again, unchanged.
Below is a geometry-optimized InCu2W structure, with properties calculated at the PBE-GGA level.

CIF file:
```
data_InCu2W
_chemical_formula_sum 'In1 Cu2 W1'
_cell_length_a 2.859
_cell_length_b 2.859
_cell_length_c 7.501
_cell_angle_alpha 90.00
_cell_angle_beta 90.00
_cell_angle_gamma 90.00
_symmetry_space_group_name_H-M 'P 4/m m m'
_symmetry_Int_Tables_number 123
_symmetry_space_group_name_Hall '-P 4 2'
loop_
_atom_site_label
_atom_site_type_symbol
_atom_site_fract_x
_atom_site_fract_y
_atom_site_fract_z
In1 In 0.000 0.000 0.000
Cu1 Cu 0.500 0.500 0.260
W1 W 0.000 0.000 0.500
```

Computed properties:
Total DFT energy (no corrections), eV/atom: -5.660
Formation energy, kJ/mol of formula units: 120
Size of the total moment, μB/atom: 0.00